# Zr4ZnPC2

A relaxed structure of Zr4ZnPC2 (PBE, OQMD via LeMat-Bulk).

Total DFT energy (no corrections)   -65.49 eV per formula unit

Cell: 3.398 3.398 13.241 Å, 90.00 90.00 120.00°
Atoms (fractional coordinates):
Zr (0.000, 0.000, 0.137)
Zr (0.000, 0.000, 0.863)
Zr (0.333, 0.667, 0.330)
Zr (0.333, 0.667, 0.670)
Zn (0.000, 0.000, 0.500)
P (0.333, 0.667, 0.000)
C (0.667, 0.333, 0.236)
C (0.667, 0.333, 0.764)

# Zr4PC3

A relaxed structure of Zr4PC3 (PBE, OQMD via LeMat-Bulk).

Total DFT energy (no corrections)   -74.86 eV per formula unit

Cell: 3.405 3.405 23.074 Å, 90.00 90.00 120.00°
Atoms (fractional coordinates):
Zr (0.000, 0.000, 0.171)
Zr (0.000, 0.000, 0.329)
Zr (0.000, 0.000, 0.671)
Zr (0.000, 0.000, 0.829)
Zr (0.333, 0.667, 0.057)
Zr (0.333, 0.667, 0.443)
Zr (0.667, 0.333, 0.557)
Zr (0.667, 0.333, 0.943)
P (0.333, 0.667, 0.250)
P (0.667, 0.333, 0.750)
C (0.000, 0.000, 0.000)
C (0.000, 0.000, 0.500)
C (0.333, 0.667, 0.619)
C (0.333, 0.667, 0.881)
C (0.667, 0.333, 0.119)
C (0.667, 0.333, 0.381)

# PaC

A relaxed structure of PaC (PBE, OQMD via LeMat-Bulk).

Energy relative to the lowest polymorph listed for this composition   0.0 kJ/mol of atoms
Total DFT energy (no corrections)   -19.62 eV per formula unit

Cell: 5.079 5.079 5.079 Å, 90.00 90.00 90.00°
Atoms (fractional coordinates):
Pa (0.000, 0.000, 0.000)
Pa (0.000, 0.500, 0.500)
Pa (0.500, 0.000, 0.500)
Pa (0.500, 0.500, 0.000)
C (0.000, 0.000, 0.500)
C (0.000, 0.500, 0.000)
C (0.500, 0.000, 0.000)
C (0.500, 0.500, 0.500)

# PaC

A relaxed structure of PaC (PBE, OQMD via LeMat-Bulk).

Energy relative to the lowest polymorph listed for this composition   39.5 kJ/mol of atoms
Total DFT energy (no corrections)   -18.80 eV per formula unit

Cell: 5.419 5.419 5.419 Å, 90.00 90.00 90.00°
Atoms (fractional coordinates):
Pa (0.000, 0.000, 0.000)
Pa (0.000, 0.500, 0.500)
Pa (0.500, 0.000, 0.500)
Pa (0.500, 0.500, 0.000)
C (0.250, 0.250, 0.250)
C (0.250, 0.750, 0.750)
C (0.750, 0.250, 0.750)
C (0.750, 0.750, 0.250)

# PaC2

A relaxed structure of PaC2 (PBE, OQMD via LeMat-Bulk).

Total DFT energy (no corrections)   -28.74 eV per formula unit

Cell: 3.609 3.609 6.112 Å, 90.00 90.00 90.00°
Atoms (fractional coordinates):
Pa (0.000, 0.000, 0.000)
Pa (0.500, 0.500, 0.500)
C (0.000, 0.000, 0.388)
C (0.000, 0.000, 0.612)
C (0.500, 0.500, 0.112)
C (0.500, 0.500, 0.888)

# PaC

A relaxed structure of PaC (PBE, OQMD via LeMat-Bulk).

Energy relative to the lowest polymorph listed for this composition   32.7 kJ/mol of atoms
Total DFT energy (no corrections)   -18.95 eV per formula unit

Cell: 3.401 3.401 3.152 Å, 90.00 90.00 120.00°
Atoms (fractional coordinates):
Pa (0.000, 0.000, 0.000)
C (0.333, 0.667, 0.500)

# Pa3PbC

A relaxed structure of Pa3PbC (PBE, OQMD via LeMat-Bulk).

Total DFT energy (no corrections)   -42.51 eV per formula unit

Cell: 4.833 4.833 4.833 Å, 90.00 90.00 90.00°
Atoms (fractional coordinates):
Pa (0.000, 0.000, 0.500)
Pa (0.000, 0.500, 0.000)
Pa (0.500, 0.000, 0.000)
Pb (0.500, 0.500, 0.500)
C (0.000, 0.000, 0.000)

# PaCS

A relaxed structure of PaCS (PBE, OQMD via LeMat-Bulk).

Total DFT energy (no corrections)   -22.36 eV per formula unit

Cell: 7.673 7.673 3.787 Å, 90.00 90.00 120.00°
Atoms (fractional coordinates):
Pa (0.000, 0.320, 0.000)
Pa (0.320, 0.000, 0.000)
Pa (0.680, 0.680, 0.000)
C (0.464, 0.001, 0.500)
C (0.537, 0.536, 0.500)
C (0.999, 0.463, 0.500)
S (0.000, 0.000, 0.500)
S (0.333, 0.667, 0.000)
S (0.667, 0.333, 0.000)

# Pa2TeCS

A relaxed structure of Pa2TeCS (PBE, OQMD via LeMat-Bulk).

Total DFT energy (no corrections)   -39.70 eV per formula unit

Cell: 3.810 3.810 10.341 Å, 90.00 90.00 120.00°
Atoms (fractional coordinates):
Pa (0.000, 0.000, 0.000)
Pa (0.333, 0.667, 0.261)
Te (0.000, 0.000, 0.466)
C (0.667, 0.333, 0.127)
S (0.333, 0.667, 0.847)

# Pa4C2Se5

A relaxed structure of Pa4C2Se5 (PBE, OQMD via LeMat-Bulk).

Total DFT energy (no corrections)   -86.27 eV per formula unit

Cell: 9.313 9.313 7.651 Å, 104.06 104.06 24.15°
Atoms (fractional coordinates):
Pa (0.002, 0.002, 0.287)
Pa (0.332, 0.332, 0.392)
Pa (0.668, 0.668, 0.608)
Pa (0.998, 0.998, 0.713)
C (0.460, 0.460, 0.474)
C (0.540, 0.540, 0.526)
Se (0.160, 0.160, 0.866)
Se (0.167, 0.167, 0.329)
Se (0.500, 0.500, 0.000)
Se (0.833, 0.833, 0.671)
Se (0.840, 0.840, 0.134)

Question: Which of these has the lowest total DFT energy (no corrections)?
Answer: Pa4C2Se5

Question: Look up the total DFT energy (no corrections) of the ninth one.
Answer: -39.70 eV per formula unit